First-principles (PBE-GGA) data for a geometry-optimized LiPIrRu structure, as listed in Alexandria via LeMat-Bulk.

The structure in CIF format:
```
data_LiPIrRu
_symmetry_space_group_name_H-M 'F -4 3 m'
_symmetry_Int_Tables_number 216
_symmetry_space_group_name_Hall 'F -4 2 3'
_cell_length_a 5.7509
_cell_length_b 5.7509
_cell_length_c 5.7509
_cell_angle_alpha 90.00
_cell_angle_beta 90.00
_cell_angle_gamma 90.00
loop_
_atom_site_label
_atom_site_fract_x
_atom_site_fract_y
_atom_site_fract_z
_atom_site_occupancy
Li1 0.0000 0.0000 0.0000 1
P1 0.0000 0.0000 0.5000 1
Ir1 0.2500 0.2500 0.2500 1
Ru1 0.2500 0.2500 0.7500 1
```

crystal system = cubic
ΔE_f = -0.4404 eV/atom